# 1
Pr6Y8Pb | GGA-PBE | relaxed

abc: 9.5847 9.5847 6.4809
angles: 90.00 90.00 120.00
Space group P-3 (No. 147)
Unique sites:
Pr 0.0901 0.4518 0.3159 [6 per cell]
Y 0.0375 0.2615 0.8118 [6 per cell]
Y 0.3333 0.6667 0.8352 [2 per cell]
Pb 0.0000 0.0000 0.5000 [1 per cell]

Summary:
As for the magnetization: 0.0 μB/f.u. Its formation energy is 0.7 eV/f.u.



# 2
HfSnIrPt2 | GGA-PBE | relaxed

abc: 4.986 4.986 4.867
angles: 90.00 90.00 90.00
Space group P4/mmm (No. 123)
Unique sites:
Hf 0.000 0.000 0.000 [1 per cell]
Sn 0.500 0.500 0.500 [1 per cell]
Ir 0.000 0.000 0.500 [1 per cell]
Pt 0.000 0.500 0.000 [2 per cell]

Summary:
As for the magnetization: 0.0 μB/f.u. Its formation energy is 3.3 eV/f.u.



# 3
Sr3ZnGa | GGA-PBE | relaxed

abc: 5.612 21.848 5.603
angles: 90.00 90.00 90.00
Space group Cmcm (No. 63)
Unique sites:
Sr 0.000 0.077 0.250 [4 per cell]
Sr 0.000 0.249 0.250 [4 per cell]
Sr 0.000 0.422 0.250 [4 per cell]
Zn 0.000 0.338 0.750 [4 per cell]
Ga 0.000 0.159 0.750 [4 per cell]

Summary:
As for the magnetization: 0.0 μB/f.u. Its formation energy is -1.2 eV/f.u. The value obtained for the energy above the most stable polymorph in this dataset is 0.000 eV/atom.